Record 1
6
Lattice="-0.073 2.635 -1.659 -4.375 -3.169 -1.917 -2.106 3.739 6.034" Properties=species:S:1:pos:R:3 comment="SCAN TlAu2, PBEsol geometry" crystal_system=monoclinic e_above_lowest_polymorph_ev_per_atom=0.051 e_form_kcal_per_mol_atoms=1.39 pbc="T T T"
Au -5.201 2.381 4.013
Au -1.011 0.758 1.248
Au -5.543 2.448 1.210
Tl -2.746 3.066 2.069
Tl -3.807 0.139 0.389
Au -1.353 0.824 -1.554

Record 2
5
Lattice="4.840 0.000 0.000 0.000 4.833 0.000 0.000 0.000 4.833" Properties=species:S:1:pos:R:3 comment="SCAN CuAs2WSe, PBEsol geometry" crystal_system=tetragonal formation_energy_uncorrected_mev_per_atom=871 pbc="T T T"
W 0.000 0.000 0.000
As 0.000 0.000 2.417
Se 2.420 0.000 0.000
As 0.000 2.417 0.000
Cu 2.420 2.417 2.417

| no. | final energy (eV/atom) |
| --- | --- |
| 1 | -70.164 |
| 2 | -28.199 |